A relaxed structure of PrGdPb, computed with PBE.

The space group is F-43m (No. 216) and the conventional cell measures 7.5457, 7.5457 and 7.5457 Å, with angles of 90.00, 90.00 and 90.00 degrees. The asymmetric unit holds Pr at (0.0000, 0.0000, 0.0000), Gd at (0.0000, 0.0000, 0.5000) and Pb at (0.2500, 0.2500, 0.2500).

The energy above the most stable polymorph in this dataset comes out at 0.087 eV/f.u.



A relaxed structure of FeCu2C, computed with PBE.

The space group is I-42d (No. 122) and the conventional cell measures 3.1798, 3.1798 and 17.3857 Å, with angles of 90.00, 90.00 and 90.00 degrees. The asymmetric unit holds Fe at (0.0000, 0.0000, 0.0000), Cu at (0.2428, 0.2500, 0.6250) and C at (0.0000, 0.0000, 0.5000).



Formation energy from the elements (eV/atom)
-0.27; 1.05
Total magnetization (Bohr magnetons per cell)
32.58; 10.02